No. 1
## Y3CdC (PBE)

Data for an optimized crystal structure of Y3CdC.

Space-group type: No. 47
Offset from the most stable computed form in meV/atom: 62.6
ΔH_f (0 K) in eV per atom: -0.2782
Density in Mg/m³: 5.4

a b c (Å): 6.078 7.781 6.078
angles (deg): 105.45 108.58 105.46
Fractional positions:
Y: 0.513 0.888 0.058
Y: 0.637 0.135 0.682
Y: 0.260 0.381 0.805
Y: 0.013 0.888 0.558
Y: 0.137 0.134 0.182
Y: 0.760 0.381 0.305
C: 0.887 0.134 0.432
C: 0.387 0.134 0.932
Cd: 0.387 0.635 0.432
Cd: 0.887 0.635 0.932


No. 2
## Y3CdC (PBE)

Data for an optimized crystal structure of Y3CdC.

Space-group type: No. 119
Offset from the most stable computed form in meV/atom: 1514.2
ΔH_f (0 K) in eV per atom: 1.1734
Density in Mg/m³: 4.0

a b c (Å): 5.267 5.267 12.361
angles (deg): 77.70 77.70 90.00
Fractional positions:
Y: 0.109 0.873 0.255
Y: 0.127 0.891 0.745
Y: 0.127 0.364 0.745
Y: 0.636 0.873 0.255
Y: 0.306 0.306 0.387
Y: 0.694 0.694 0.613
C: 0.648 0.148 0.704
C: 0.852 0.352 0.296
Cd: 0.000 0.000 0.000
Cd: 0.250 0.750 0.500


No. 3
## Y3CdC (PBE)

Data for an optimized crystal structure of Y3CdC.

Space-group type: No. 2
Offset from the most stable computed form in meV/atom: 63.7
ΔH_f (0 K) in eV per atom: -0.2771
Density in Mg/m³: 5.4

a b c (Å): 5.168 6.325 8.835
angles (deg): 81.16 106.97 65.79
Fractional positions:
Y: 0.129 0.299 0.490
Y: 0.349 0.594 0.223
Y: 0.146 0.590 0.812
Y: 0.740 0.940 0.351
Y: 0.535 0.949 0.950
Y: 0.926 0.295 0.078
C: 0.839 0.613 0.223
C: 0.436 0.276 0.078
Cd: 0.472 0.712 0.586
Cd: 0.803 0.177 0.716


no.,total DFT energy (no corrections) (eV per atom)
1,-6.184
2,-4.733
3,-6.183